Material: NdThSc4
Method: DFT, GGA-PBE
State: relaxed

The structure belongs to space group Cmcm (No. 63); the cell edges are 6.647, 18.548 and 5.344 Å and the angles 90.00°, 90.00° and 90.00°. The distinct sites, in fractional coordinates, are Nd at (0.000, 0.124, 0.250), Th at (0.000, 0.374, 0.750), Sc at (0.245, 0.458, 0.250) and Sc at (0.249, 0.291, 0.250).

As for the crystal system: orthorhombic. The calculation puts the energy above the most stable polymorph in this dataset at 0.0000 eV/atom. Its formation energy is 0.4 eV per formula unit.